[1]
This record from Alexandria via LeMat-Bulk describes an optimized crystal structure of ZnPtNF2. The functional is GGA-PBE.

abc: 4.504 4.504 3.707
angles: 90.00 90.00 90.00
Element x y z (fractional)
Zn  0.500  0.500  0.500
N  0.000  0.000  0.500
F  0.500  0.000  0.000
F  0.000  0.500  0.000
Pt  0.000  0.000  0.000

Raw formation energy: -89 meV/atom
Total magnetic moment: 0.00 μB per formula unit

[2]
This record from Alexandria via LeMat-Bulk describes an optimized crystal structure of GaAgRu3. The functional is GGA-PBE.

abc: 4.811 4.811 4.811
angles: 90.00 90.00 90.00
Site moments in Bohr magnetons follow the coordinates.
Element x y z (fractional)
Ru  0.500  0.000  0.000  1.18
Ru  0.000  0.000  0.500  2.41
Ru  0.000  0.500  0.000  1.64
Ga  0.500  0.500  0.500  -0.07
Ag  0.000  0.000  0.000  0.14

Total magnetic moment: 5.31 μB per formula unit
Formation energy from the elements: 2.193 eV/atom